Below is HoTm2Mg7 after structural relaxation, with properties calculated at the PBE level.

Summary:
DFT formation energy in eV per formula unit: 2.4
VASP energy in eV per atom: -2.233
Density of states at the Fermi level in states/eV per atom: 0.943

abc: 3.3360 7.5244 11.5395
angles: 109.03 90.00 90.00
Each line ends with the local moment (μB).
Fractional positions:
Ho  0.0000  0.0000  0.0000  0.01
Tm  0.5000  0.7397  0.4795  0.12
Tm  0.5000  0.2603  0.5205  0.12
Mg  0.0000  0.6121  0.2241  0.00
Mg  0.0000  0.3879  0.7759  0.00
Mg  0.5000  0.6879  0.7534  0.00
Mg  0.5000  0.3121  0.2466  0.00
Mg  0.5000  0.9345  0.2466  0.00
Mg  0.5000  0.0655  0.7534  0.00
Mg  0.5000  0.5000  0.0000  0.00

Below is Ho3Tm12Mg after structural relaxation, with properties calculated at the PBE level.

Summary:
DFT formation energy in eV per formula unit: 0.4
VASP energy in eV per atom: -4.287
Density of states at the Fermi level in states/eV per atom: 1.269

abc: 4.9201 4.9201 19.7188
angles: 90.00 90.00 90.00
Fractional positions:
Ho  0.0000  0.0000  0.2486
Ho  0.0000  0.0000  0.5000
Ho  0.0000  0.0000  0.7514
Tm  0.5000  0.5000  0.0000
Tm  0.5000  0.5000  0.2458
Tm  0.5000  0.5000  0.5000
Tm  0.5000  0.5000  0.7542
Tm  0.5000  0.0000  0.1234
Tm  0.5000  0.0000  0.3738
Tm  0.5000  0.0000  0.6262
Tm  0.5000  0.0000  0.8766
Tm  0.0000  0.5000  0.1234
Tm  0.0000  0.5000  0.3738
Tm  0.0000  0.5000  0.6262
Tm  0.0000  0.5000  0.8766
Mg  0.0000  0.0000  0.0000

Below is HoTm14Mg after structural relaxation, with properties calculated at the PBE level.

Summary:
DFT formation energy in eV per formula unit: 0.3
VASP energy in eV per atom: -4.282
Density of states at the Fermi level in states/eV per atom: 1.535

abc: 6.9860 6.9860 11.2375
angles: 90.00 90.00 120.01
Fractional positions:
Ho  0.7113  0.2887  0.5000
Tm  0.0425  0.9575  0.0000
Tm  0.5417  0.4583  0.0000
Tm  0.2045  0.2891  0.5000
Tm  0.0426  0.4604  0.0000
Tm  0.7109  0.7955  0.5000
Tm  0.5396  0.9574  0.0000
Tm  0.3754  0.1263  0.7490
Tm  0.3754  0.1263  0.2510
Tm  0.8737  0.6246  0.7490
Tm  0.8737  0.6246  0.2510
Tm  0.3753  0.6247  0.7483
Tm  0.3753  0.6247  0.2517
Tm  0.8750  0.1250  0.7523
Tm  0.8750  0.1250  0.2477
Mg  0.2084  0.7916  0.5000

Below is HoTm2Mg after structural relaxation, with properties calculated at the PBE level.

Summary:
Energy relative to the lowest polymorph listed for this composition in eV/atom: 0.061
DFT formation energy in eV per formula unit: 0.1
VASP energy in eV per atom: -3.744
Density of states at the Fermi level in states/eV per atom: 2.031

abc: 4.8743 4.8512 4.8512
angles: 90.00 90.00 90.00
Fractional positions:
Mg  0.5000  0.0000  0.0000
Tm  0.0000  0.0000  0.5000
Tm  0.0000  0.5000  0.0000
Ho  0.5000  0.5000  0.5000

Below is Ho8Tm5Mg after structural relaxation, with properties calculated at the PBE level.

Summary:
DFT formation energy in eV per formula unit: 3.3
VASP energy in eV per atom: -4.089
Density of states at the Fermi level in states/eV per atom: 1.410

abc: 8.3261 8.3261 8.3261
angles: 110.49 107.46 110.49
Fractional positions:
Ho  0.1613  0.7284  0.0732
Ho  0.9268  0.0881  0.6552
Ho  0.7361  0.2591  0.3413
Ho  0.6587  0.3948  0.9179
Ho  0.5231  0.6052  0.2639
Ho  0.5671  0.9119  0.8387
Ho  0.3448  0.2716  0.4330
Ho  0.0821  0.7409  0.4769
Tm  0.0256  0.3112  0.1258
Tm  0.8742  0.8999  0.1854
Tm  0.8146  0.6888  0.7145
Tm  0.5000  0.0000  0.5000
Tm  0.2855  0.1001  0.9744
Mg  0.2500  0.5000  0.7500

Below is Ho3Tm7Mg after structural relaxation, with properties calculated at the PBE level.

Summary:
DFT formation energy in eV per formula unit: 2.2
VASP energy in eV per atom: -4.037
Density of states at the Fermi level in states/eV per atom: 1.340

abc: 8.4483 6.8874 6.8874
angles: 120.00 90.00 90.00
Fractional positions:
Ho  0.7857  0.5017  0.4983
Ho  0.7857  0.5017  0.0034
Ho  0.7857  0.9966  0.4983
Tm  0.1200  0.1670  0.8330
Tm  0.1200  0.1670  0.3340
Tm  0.1163  0.6667  0.3333
Tm  0.4455  0.8305  0.1695
Tm  0.4455  0.3390  0.1695
Tm  0.4455  0.8305  0.6610
Tm  0.1200  0.6660  0.8330
Mg  0.4452  0.3333  0.6667

Below is Ho5Tm4Mg after structural relaxation, with properties calculated at the PBE level.

Summary:
Energy relative to the lowest polymorph listed for this composition in eV/atom: 0.287
DFT formation energy in eV per formula unit: 2.9
VASP energy in eV per atom: -3.944
Density of states at the Fermi level in states/eV per atom: 1.503

abc: 6.1656 7.7525 7.7525
angles: 80.90 66.57 66.57
Fractional positions:
Ho  0.8149  0.3712  0.9175
Ho  0.1861  0.9175  0.6288
Ho  0.7324  0.0825  0.3712
Ho  0.1036  0.6288  0.0825
Ho  0.6561  0.0000  0.0000
Tm  0.4121  0.3870  0.6995
Tm  0.7991  0.6995  0.6130
Tm  0.1117  0.3005  0.3870
Tm  0.4987  0.6130  0.3005
Mg  0.1957  0.0000  0.0000

Below is Ho2Tm2Mg after structural relaxation, with properties calculated at the PBE level.

Summary:
Energy relative to the lowest polymorph listed for this composition in eV/atom: 0.000
DFT formation energy in eV per formula unit: 0.0
VASP energy in eV per atom: -3.948
Density of states at the Fermi level in states/eV per atom: 1.610

abc: 3.5049 7.0301 13.0708
angles: 113.78 97.71 90.00
Fractional positions:
Ho  0.4048  0.8566  0.8096
Ho  0.4048  0.3566  0.8096
Ho  0.5952  0.1434  0.1904
Ho  0.5952  0.6434  0.1904
Tm  0.1980  0.5474  0.3962
Tm  0.8018  0.9526  0.6038
Tm  0.8020  0.4526  0.6038
Tm  0.1982  0.0474  0.3962
Mg  0.0000  0.2500  0.0000
Mg  0.0000  0.7500  0.0000